An optimized crystal structure of Rb2ScReGe. Source: the Alexandria database, functional PBE.

Cell and atoms, written as POSCAR:
```
Rb2ScReGe
1.0
6.8168 0.0000 0.0000
0.0000 6.8168 0.0000
0.0000 0.0000 4.7574
Rb Sc Re Ge
2 1 1 1
Cartesian
0.0000 3.4084 0.0000
3.4084 0.0000 0.0000
0.0000 0.0000 2.3787
3.4084 3.4084 0.0000
3.4084 3.4084 2.3787
```

* SG: No. 123
* crystal system: tetragonal
* energy: -3.66 eV/atom
* energy relative to the elements: 7.032 eV per formula unit